{"formula": "La2PrWO8", "functional": "GGA+U", "state": "optimized geometry", "cell": [[4.3910, -0.1958, -0.0019], [-0.1611, 5.5408, -0.0060], [0.0035, 0.0080, 7.2871]], "species": ["O", "O", "La", "La", "O", "O", "W", "O", "O", "Pr", "O", "O"], "fractional_positions": [[0.4641, 0.2513, 0.5000], [0.9354, 0.2302, 0.2013], [0.5000, 0.5000, 0.2482], [0.5000, 0.5000, 0.7518], [0.4053, 0.1725, 0.0000], [0.5359, 0.7487, 0.5000], [0.0000, 0.0000, 0.0000], [0.9354, 0.2302, 0.7987], [0.5947, 0.8275, 0.0000], [0.0000, 0.0000, 0.5000], [0.0646, 0.7698, 0.2013], [0.0646, 0.7698, 0.7987]], "dft_energy_ev_per_atom": -7.8517}